Here is a relaxed structure of CsHfTl from the Alexandria database. Energies are from PBE. Values from VASP.

Geometry as Quantum ESPRESSO input:
```
&SYSTEM
  ibrav = 0, nat = 12, ntyp = 3
/
ATOMIC_SPECIES
Cs 132.91 Cs.upf
Tl 204.38 Tl.upf
Hf 178.49 Hf.upf
ATOMIC_POSITIONS crystal
Cs 0.750 0.250 0.752
Cs 0.750 0.750 0.252
Cs 0.250 0.750 0.248
Cs 0.250 0.250 0.748
Tl 0.000 0.000 0.000
Tl 0.500 0.500 0.500
Tl 0.500 0.000 0.500
Tl 0.000 0.500 0.000
Hf 0.500 0.250 0.002
Hf 0.000 0.750 0.502
Hf 0.500 0.750 0.998
Hf 0.000 0.250 0.498
CELL_PARAMETERS angstrom
-3.240 -5.567 -12.891
0.535 -5.509 2.245
-5.232 0.024 1.305
```

Values from the calculation:
symmetry	Pnma
VASP energy	-3.89	eV/atom
total magnetization	1.7	μB/cell
formation enthalpy at 0 K	502	meV per atom
energy relative to the lowest polymorph listed for this composition	0	meV/atom

***

Here is a relaxed structure of Pu2MnIn from the Alexandria database. Energies are from PBE. Values from VASP.

Geometry as Quantum ESPRESSO input:
```
&SYSTEM
  ibrav = 0, nat = 4, ntyp = 3
/
ATOMIC_SPECIES
In 114.82 In.upf
Mn 54.94 Mn.upf
Pu 244.00 Pu.upf
ATOMIC_POSITIONS crystal
In 0.500 0.500 0.500
Mn 0.500 0.500 0.000
Pu 0.000 0.000 0.788
Pu 0.000 0.000 0.212
CELL_PARAMETERS angstrom
3.162 0.000 0.000
0.000 3.162 0.000
0.000 0.000 8.746
```

Values from the calculation:
symmetry	P4/mmm
VASP energy	-10.21	eV/atom
total magnetization	8.4	μB/cell
formation enthalpy at 0 K	-69	meV per atom
energy relative to the lowest polymorph listed for this composition	0	meV/atom

***

Here is a relaxed structure of PmThNi2 from the Alexandria database. Energies are from PBE. Values from VASP.

Geometry as Quantum ESPRESSO input:
```
&SYSTEM
  ibrav = 0, nat = 4, ntyp = 3
/
ATOMIC_SPECIES
Ni 58.69 Ni.upf
Th 232.04 Th.upf
Pm 145.00 Pm.upf
ATOMIC_POSITIONS crystal
Ni 0.000 0.000 0.715
Ni 0.000 0.000 0.285
Th 0.500 0.500 0.500
Pm 0.500 0.500 0.000
CELL_PARAMETERS angstrom
3.515 0.000 0.000
0.000 3.515 0.000
0.000 0.000 6.937
```

Values from the calculation:
symmetry	P4/mmm
VASP energy	-6.23	eV/atom
total magnetization	0.0	μB/cell
formation enthalpy at 0 K	-292	meV per atom
energy relative to the lowest polymorph listed for this composition	102	meV/atom

***

Here is a relaxed structure of OsW2 from the Alexandria database. Energies are from PBE. Values from VASP.

Geometry as Quantum ESPRESSO input:
```
&SYSTEM
  ibrav = 0, nat = 6, ntyp = 2
/
ATOMIC_SPECIES
Os 190.23 Os.upf
W 183.84 W.upf
ATOMIC_POSITIONS crystal
Os 0.007 0.007 0.011
Os 0.327 0.327 0.336
W 0.611 0.611 0.268
W 0.936 0.936 0.601
W 0.656 0.656 0.673
W 0.297 0.297 0.945
CELL_PARAMETERS angstrom
1.429 5.101 0.139
-1.429 5.101 0.139
0.000 1.945 6.508
```

Values from the calculation:
symmetry	Cm
VASP energy	-12.16	eV/atom
total magnetization	0.0	μB/cell
formation enthalpy at 0 K	220	meV per atom
energy relative to the lowest polymorph listed for this composition	218	meV/atom

***

Here is a relaxed structure of Li4InHg from the Alexandria database. Energies are from PBE. Values from VASP.

Geometry as Quantum ESPRESSO input:
```
&SYSTEM
  ibrav = 0, nat = 6, ntyp = 3
/
ATOMIC_SPECIES
Li 6.94 Li.upf
In 114.82 In.upf
Hg 200.59 Hg.upf
ATOMIC_POSITIONS crystal
Li 0.805 0.997 0.168
Li 0.696 0.997 0.829
Li 0.814 0.497 0.663
Li 0.689 0.498 0.333
In 0.250 0.497 0.998
Hg 0.252 0.997 0.498
CELL_PARAMETERS angstrom
-0.450 -0.957 -2.715
-4.230 -1.372 1.184
-2.931 7.257 -2.065
```

Values from the calculation:
symmetry	P2/m
VASP energy	-2.05	eV/atom
total magnetization	0.0	μB/cell
formation enthalpy at 0 K	-270	meV per atom
energy relative to the lowest polymorph listed for this composition	7	meV/atom

***

Here is a relaxed structure of TbDy2PuO8 from the Alexandria database. Energies are from PBE. Values from VASP.

Geometry as Quantum ESPRESSO input:
```
&SYSTEM
  ibrav = 0, nat = 12, ntyp = 4
/
ATOMIC_SPECIES
Tb 158.93 Tb.upf
Dy 162.50 Dy.upf
Pu 244.00 Pu.upf
O 16.00 O.upf
ATOMIC_POSITIONS crystal
Tb 0.000 0.000 0.500
Dy 0.500 0.500 0.741
Dy 0.500 0.500 0.259
Pu 0.000 0.000 0.000
O 0.184 0.816 0.221
O 0.721 0.721 0.000
O 0.816 0.184 0.221
O 0.816 0.184 0.779
O 0.279 0.279 0.000
O 0.184 0.816 0.779
O 0.691 0.691 0.500
O 0.309 0.309 0.500
CELL_PARAMETERS angstrom
-1.205 2.847 -4.054
-1.711 -4.192 -2.342
-6.359 1.106 2.667
```

Values from the calculation:
symmetry	Cmmm
VASP energy	-8.74	eV/atom
total magnetization	1.0	μB/cell
raw formation energy	-3.089	eV per atom

***

Here is a relaxed structure of Th2Mn2Ga2C from the Alexandria database. Energies are from PBE. Values from VASP.

Geometry as Quantum ESPRESSO input:
```
&SYSTEM
  ibrav = 0, nat = 7, ntyp = 4
/
ATOMIC_SPECIES
Th 232.04 Th.upf
Mn 54.94 Mn.upf
Ga 69.72 Ga.upf
C 12.01 C.upf
ATOMIC_POSITIONS crystal
Th 0.562 0.166 0.710
Th 0.438 0.834 0.290
Mn 0.192 0.690 0.925
Mn 0.808 0.310 0.075
Ga 0.154 0.393 0.299
Ga 0.846 0.607 0.701
C 0.000 0.000 0.000
CELL_PARAMETERS angstrom
-0.184 2.168 -3.296
-5.118 -1.093 -2.799
-3.573 4.947 1.087
```

Values from the calculation:
symmetry	C2/m
VASP energy	-7.27	eV/atom
total magnetization	2.1	μB/cell
formation enthalpy at 0 K	-348	meV per atom

***

Here is a relaxed structure of CaIn2Br6 from the Alexandria database. Energies are from PBE. Values from VASP.

Geometry as Quantum ESPRESSO input:
```
&SYSTEM
  ibrav = 0, nat = 18, ntyp = 3
/
ATOMIC_SPECIES
Ca 40.08 Ca.upf
In 114.82 In.upf
Br 79.90 Br.upf
ATOMIC_POSITIONS crystal
Ca 0.250 0.067 0.933
Ca 0.750 0.933 0.067
In 0.253 0.576 0.786
In 0.247 0.214 0.424
In 0.747 0.424 0.214
In 0.753 0.786 0.576
Br 0.541 0.625 0.651
Br 0.959 0.349 0.375
Br 0.459 0.375 0.349
Br 0.041 0.651 0.625
Br 0.750 0.978 0.361
Br 0.750 0.639 0.022
Br 0.250 0.022 0.639
Br 0.250 0.361 0.978
Br 0.120 0.810 0.999
Br 0.380 0.001 0.190
Br 0.880 0.190 0.001
Br 0.620 0.999 0.810
CELL_PARAMETERS angstrom
9.014 0.054 0.053
2.643 9.215 -0.435
2.643 -0.136 9.225
```

Values from the calculation:
symmetry	C2/c
VASP energy	-3.03	eV/atom
total magnetization	0.0	μB/cell
energy relative to the lowest polymorph listed for this composition	44	meV/atom
raw formation energy	-1.080	eV per atom